Record 1
## TiMn3Zn (PBE-GGA)

Data for a relaxed TiMn3Zn crystal.

The value obtained for the relative energy among the computed polymorphs is 104 meV per atom. The calculation puts the spin magnetization at 8.03 μB/cell. As for the mass density: 5.154 g/cm3.

The space group is Pm-3m (No. 221) and the conventional cell measures 4.475, 4.475 and 4.475 Å, with angles of 90.00, 90.00 and 90.00 degrees. The distinct sites, in fractional coordinates, are Ti at (0.000, 0.000, 0.000), Mn at (0.000, 0.000, 0.500) and Zn at (0.500, 0.500, 0.500).


Record 2
## ZrTiMnZn (PBE-GGA)

Data for a relaxed ZrTiMnZn crystal.

The calculation puts the spin magnetization at 0.00 μB/cell. As for the mass density: 6.749 g/cm3. The total DFT energy (no corrections) comes out at -27.3 eV/f.u.

The space group is F-43m (No. 216) and the conventional cell measures 6.344, 6.344 and 6.344 Å, with angles of 90.00, 90.00 and 90.00 degrees. The distinct sites, in fractional coordinates, are Zr at (0.000, 0.000, 0.000), Ti at (0.000, 0.000, 0.500), Mn at (0.250, 0.250, 0.750) and Zn at (0.250, 0.250, 0.250).


Record 3
## ZrTi2Mn2 (PBE-GGA)

Data for a relaxed ZrTi2Mn2 crystal.

The value obtained for the relative energy among the computed polymorphs is 57 meV per atom. The calculation puts the spin magnetization at 1.99 μB/cell. As for the mass density: 6.045 g/cm3.

The space group is I4/mmm (No. 139) and the conventional cell measures 3.912, 3.912 and 10.656 Å, with angles of 90.00, 90.00 and 90.00 degrees. The distinct sites, in fractional coordinates, are Zr at (0.000, 0.000, 0.000), Ti at (0.000, 0.500, 0.250) and Mn at (0.000, 0.000, 0.402).


Record 4
## Zr2TiMn2 (PBE-GGA)

Data for a relaxed Zr2TiMn2 crystal.

The calculation puts the spin magnetization at 1.42 μB/cell. As for the mass density: 6.554 g/cm3. The total DFT energy (no corrections) comes out at -43.3 eV/f.u.

The space group is P4/mbm (No. 127) and the conventional cell measures 6.337, 6.337 and 4.293 Å, with angles of 90.00, 90.00 and 90.00 degrees. The distinct sites, in fractional coordinates, are Zr at (0.182, 0.318, 0.000), Ti at (0.000, 0.000, 0.500) and Mn at (0.117, 0.617, 0.500).


Record 5
## ZrTi2Mn2 (PBE-GGA)

Data for a relaxed ZrTi2Mn2 crystal.

The value obtained for the relative energy among the computed polymorphs is 0 meV per atom. The calculation puts the spin magnetization at 2.89 μB/cell. As for the mass density: 6.230 g/cm3.

The space group is P4/mbm (No. 127) and the conventional cell measures 7.197, 7.197 and 3.055 Å, with angles of 90.00, 90.00 and 90.00 degrees. The distinct sites, in fractional coordinates, are Zr at (0.000, 0.000, 0.000), Ti at (0.146, 0.354, 0.500) and Mn at (0.142, 0.642, 0.000).


Record 6
## ZrTi3Mn2 (PBE-GGA)

Data for a relaxed ZrTi3Mn2 crystal.

The calculation puts the spin magnetization at 0.17 μB/cell. As for the mass density: 6.154 g/cm3. The total DFT energy (no corrections) comes out at -51.5 eV/f.u.

The space group is P4/mmm (No. 123) and the conventional cell measures 3.024, 3.024 and 10.174 Å, with angles of 90.00, 90.00 and 90.00 degrees. The distinct sites, in fractional coordinates, are Zr at (0.000, 0.000, 0.000), Ti at (0.500, 0.500, 0.218), Ti at (0.500, 0.500, 0.500) and Mn at (0.000, 0.000, 0.350).